VASP calculation (PBE with a Hubbard U) on CrHgMoO2 after structural relaxation.

Calculated values
The value obtained for the total energy is -3.51 eV per atom. The calculation puts the density of states at the Fermi level at 1.2 states/eV/f.u. The symmetry is P4/mmm, No. 123.

Cell: 4.322 5.119 4.322 Å, 90.00 90.00 90.00°
Site moments in Bohr magnetons follow the coordinates.
Positions (direct):
Hg  0.000  0.000  0.000  -0.03
Cr  0.000  0.500  0.000  -0.57
Mo  0.500  0.500  0.500  3.89
O  0.500  0.000  0.000  0.02
O  0.000  0.000  0.500  -0.02